Compound: Be3CoO
Source: the Alexandria database
Functional: PBE+U
Structure: optimized geometry

Calculated values
The total energy is -4.6454 eV/atom. As for the symmetry: Pm-3m, No. 221. Its magnetic moment is 1.0 μB per formula unit.

Cell and atoms, written as POSCAR:
```
Be3CoO
1.0
-0.884 0.752 3.288
2.942 -1.489 1.131
1.648 3.061 -0.257
Be Co O
3 1 1
direct
0.000 0.500 0.000 Be
0.000 0.000 0.500 Be
0.500 0.000 0.000 Be
0.500 0.500 0.500 Co
0.000 0.000 0.000 O
```